1.
## Ba2Sr2Ca5 (GGA-PBE)

Data for a geometry-optimized Ba2Sr2Ca5 structure.

Lattice parameters (Å, degrees): 9.883 9.883 11.852 101.76 101.76 23.00
Atoms (fractional coordinates):
Ba: 0.169 0.169 0.383
Ba: 0.831 0.831 0.617
Sr: 0.494 0.494 0.173
Sr: 0.506 0.506 0.827
Ca: 0.000 0.000 0.500
Ca: 0.170 0.170 0.051
Ca: 0.172 0.172 0.735
Ca: 0.828 0.828 0.265
Ca: 0.830 0.830 0.949

- ρ: 2.440 Mg/m³
- N(E_F): 11.15 states/eV/f.u.
- Calculated volume: 442.5 Å³ per cell
- ΔH_f (0 K): 77 meV/atom
- Energy above the most stable polymorph in this dataset: 0 meV per atom
- M_tot: 0.000 μB/atom



2.
## Ba6SrCa3 (GGA-PBE)

Data for a geometry-optimized Ba6SrCa3 structure.

Lattice parameters (Å, degrees): 14.857 14.857 14.857 119.06 119.06 119.06
Atoms (fractional coordinates):
Ba: 0.097 0.097 0.806
Ba: 0.097 0.806 0.097
Ba: 0.370 0.370 0.601
Ba: 0.370 0.601 0.370
Ba: 0.601 0.370 0.370
Ba: 0.806 0.097 0.097
Sr: 0.937 0.937 0.937
Ca: 0.208 0.745 0.745
Ca: 0.745 0.208 0.745
Ca: 0.745 0.745 0.208

- ρ: 2.082 Mg/m³
- N(E_F): 17.30 states/eV/f.u.
- Calculated volume: 822.9 Å³ per cell
- ΔH_f (0 K): 448 meV/atom
- Energy above the most stable polymorph in this dataset: 325 meV per atom
- M_tot: 0.000 μB/atom



3.
## Ba5Sr2Ca5 (GGA-PBE)

Data for a geometry-optimized Ba5Sr2Ca5 structure.

Lattice parameters (Å, degrees): 7.811 7.811 14.056 107.51 107.51 50.32
Atoms (fractional coordinates):
Ba: 0.000 0.000 0.000
Ba: 0.089 0.089 0.752
Ba: 0.166 0.166 0.497
Ba: 0.834 0.834 0.503
Ba: 0.911 0.911 0.248
Sr: 0.415 0.415 0.758
Sr: 0.585 0.585 0.242
Ca: 0.254 0.254 0.251
Ca: 0.325 0.325 0.007
Ca: 0.500 0.500 0.500
Ca: 0.675 0.675 0.993
Ca: 0.746 0.746 0.749

- ρ: 2.834 Mg/m³
- N(E_F): 17.36 states/eV/f.u.
- Calculated volume: 622.5 Å³ per cell
- ΔH_f (0 K): 30 meV/atom
- Energy above the most stable polymorph in this dataset: 0 meV per atom
- M_tot: 0.000 μB/atom



4.
## Ba2SrCa5 (GGA-PBE)

Data for a geometry-optimized Ba2SrCa5 structure.

Lattice parameters (Å, degrees): 9.620 9.620 13.402 90.00 90.00 139.30
Atoms (fractional coordinates):
Ba: 0.208 0.792 0.582
Ba: 0.208 0.792 0.918
Ba: 0.792 0.208 0.082
Ba: 0.792 0.208 0.418
Sr: 0.230 0.770 0.250
Sr: 0.770 0.230 0.750
Ca: 0.036 0.964 0.119
Ca: 0.036 0.964 0.381
Ca: 0.403 0.597 0.750
Ca: 0.418 0.582 0.081
Ca: 0.418 0.582 0.419
Ca: 0.582 0.418 0.581
Ca: 0.582 0.418 0.919
Ca: 0.597 0.403 0.250
Ca: 0.964 0.036 0.619
Ca: 0.964 0.036 0.881

- ρ: 2.310 Mg/m³
- N(E_F): 9.55 states/eV/f.u.
- Calculated volume: 808.8 Å³ per cell
- ΔH_f (0 K): 105 meV/atom
- Energy above the most stable polymorph in this dataset: 0 meV per atom
- M_tot: 0.000 μB/atom



5.
## Ba5SrCa6 (GGA-PBE)

Data for a geometry-optimized Ba5SrCa6 structure.

Lattice parameters (Å, degrees): 11.490 11.490 11.490 146.43 131.78 60.03
Atoms (fractional coordinates):
Ba: 0.000 0.000 0.000
Ba: 0.165 0.665 0.500
Ba: 0.332 0.332 0.000
Ba: 0.668 0.668 0.000
Ba: 0.835 0.335 0.500
Sr: 0.500 0.000 0.500
Ca: 0.089 0.835 0.254
Ca: 0.258 0.500 0.758
Ca: 0.419 0.165 0.254
Ca: 0.581 0.835 0.746
Ca: 0.742 0.500 0.242
Ca: 0.911 0.165 0.746

- ρ: 2.719 Mg/m³
- N(E_F): 20.79 states/eV/f.u.
- Calculated volume: 619.7 Å³ per cell
- ΔH_f (0 K): 32 meV/atom
- M_tot: 0.000 μB/atom



6.
## Ba5Sr8Ca (GGA-PBE)

Data for a geometry-optimized Ba5Sr8Ca structure.

Lattice parameters (Å, degrees): 10.295 10.295 10.295 112.16 112.16 104.21
Atoms (fractional coordinates):
Ba: 0.000 0.000 0.000
Ba: 0.031 0.188 0.591
Ba: 0.561 0.969 0.157
Ba: 0.597 0.439 0.409
Ba: 0.812 0.403 0.843
Sr: 0.087 0.674 0.744
Sr: 0.292 0.545 0.106
Sr: 0.326 0.070 0.413
Sr: 0.439 0.186 0.894
Sr: 0.455 0.561 0.747
Sr: 0.657 0.913 0.587
Sr: 0.814 0.708 0.253
Sr: 0.930 0.343 0.256
Ca: 0.250 0.750 0.500

- ρ: 2.840 Mg/m³
- N(E_F): 17.83 states/eV/f.u.
- Calculated volume: 834.8 Å³ per cell
- ΔH_f (0 K): 137 meV/atom
- M_tot: 0.000 μB/atom



7.
## Ba4Sr5Ca4 (GGA-PBE)

Data for a geometry-optimized Ba4Sr5Ca4 structure.

Lattice parameters (Å, degrees): 11.246 11.246 11.246 93.96 93.96 149.55
Atoms (fractional coordinates):
Ba: 0.152 0.765 0.917
Ba: 0.235 0.152 0.388
Ba: 0.765 0.848 0.612
Ba: 0.848 0.235 0.083
Sr: 0.000 0.000 0.000
Sr: 0.302 0.536 0.837
Sr: 0.464 0.302 0.766
Sr: 0.536 0.698 0.234
Sr: 0.698 0.464 0.163
Ca: 0.071 0.394 0.464
Ca: 0.394 0.929 0.323
Ca: 0.606 0.071 0.677
Ca: 0.929 0.606 0.536

- ρ: 2.740 Mg/m³
- N(E_F): 15.00 states/eV/f.u.
- Calculated volume: 695.6 Å³ per cell
- ΔH_f (0 K): 25 meV/atom
- M_tot: 0.000 μB/atom



8.
## Ba4Sr5Ca2 (GGA-PBE)

Data for a geometry-optimized Ba4Sr5Ca2 structure.

Lattice parameters (Å, degrees): 14.663 14.663 10.386 95.08 95.08 16.07
Atoms (fractional coordinates):
Ba: 0.042 0.042 0.354
Ba: 0.274 0.274 0.181
Ba: 0.726 0.726 0.819
Ba: 0.958 0.958 0.646
Sr: 0.130 0.130 0.054
Sr: 0.182 0.182 0.466
Sr: 0.500 0.500 0.000
Sr: 0.818 0.818 0.534
Sr: 0.870 0.870 0.946
Ca: 0.411 0.411 0.297
Ca: 0.589 0.589 0.703

- ρ: 2.879 Mg/m³
- N(E_F): 13.78 states/eV/f.u.
- Calculated volume: 615.6 Å³ per cell
- ΔH_f (0 K): 69 meV/atom
- Energy above the most stable polymorph in this dataset: 0 meV per atom
- M_tot: 0.000 μB/atom



9.
## BaSr2Ca4 (GGA-PBE)

Data for a geometry-optimized BaSr2Ca4 structure.

Lattice parameters (Å, degrees): 4.078 4.078 23.373 90.05 90.05 60.04
Atoms (fractional coordinates):
Ba: 0.000 0.000 0.000
Sr: 0.001 0.001 0.578
Sr: 0.002 0.002 0.291
Ca: 0.331 0.331 0.853
Ca: 0.336 0.336 0.148
Ca: 0.665 0.665 0.720
Ca: 0.669 0.669 0.435

- ρ: 2.332 Mg/m³
- N(E_F): 6.40 states/eV/f.u.
- Calculated volume: 336.7 Å³ per cell
- ΔH_f (0 K): 29 meV/atom
- Energy above the most stable polymorph in this dataset: 0 meV per atom
- M_tot: 0.000 μB/atom



10.
## Ba3SrCa7 (GGA-PBE)

Data for a geometry-optimized Ba3SrCa7 structure.

Lattice parameters (Å, degrees): 13.449 13.449 20.177 90.00 90.00 162.53
Atoms (fractional coordinates):
Ba: 0.059 0.941 0.587
Ba: 0.059 0.941 0.913
Ba: 0.341 0.659 0.250
Ba: 0.659 0.341 0.750
Ba: 0.941 0.059 0.087
Ba: 0.941 0.059 0.413
Sr: 0.120 0.880 0.250
Sr: 0.880 0.120 0.750
Ca: 0.277 0.723 0.652
Ca: 0.277 0.723 0.848
Ca: 0.309 0.691 0.034
Ca: 0.309 0.691 0.466
Ca: 0.420 0.580 0.590
Ca: 0.420 0.580 0.910
Ca: 0.495 0.505 0.250
Ca: 0.505 0.495 0.750
Ca: 0.580 0.420 0.090
Ca: 0.580 0.420 0.410
Ca: 0.691 0.309 0.534
Ca: 0.691 0.309 0.966
Ca: 0.723 0.277 0.152
Ca: 0.723 0.277 0.348

- ρ: 2.364 Mg/m³
- N(E_F): 15.44 states/eV/f.u.
- Calculated volume: 1095.8 Å³ per cell
- ΔH_f (0 K): 74 meV/atom
- Energy above the most stable polymorph in this dataset: 0 meV per atom
- M_tot: 0.000 μB/atom



11.
## Ba6SrCa (GGA-PBE)

Data for a geometry-optimized Ba6SrCa structure.

Lattice parameters (Å, degrees): 7.168 7.168 11.462 102.98 102.98 71.49
Atoms (fractional coordinates):
Ba: 0.045 0.556 0.189
Ba: 0.137 0.137 0.427
Ba: 0.444 0.955 0.811
Ba: 0.556 0.045 0.189
Ba: 0.863 0.863 0.573
Ba: 0.955 0.444 0.811
Sr: 0.500 0.500 0.500
Ca: 0.000 0.000 0.000

- ρ: 2.945 Mg/m³
- N(E_F): 13.57 states/eV/f.u.
- Calculated volume: 536.7 Å³ per cell
- ΔH_f (0 K): 204 meV/atom
- Energy above the most stable polymorph in this dataset: 191 meV per atom
- M_tot: 0.000 μB/atom



12.
## BaSr2Ca6 (GGA-PBE)

Data for a geometry-optimized BaSr2Ca6 structure.

Lattice parameters (Å, degrees): 4.017 4.017 30.331 90.00 90.00 120.00
Atoms (fractional coordinates):
Ba: 0.000 0.000 0.000
Sr: 0.333 0.667 0.330
Sr: 0.333 0.667 0.670
Ca: 0.000 0.000 0.218
Ca: 0.000 0.000 0.440
Ca: 0.000 0.000 0.560
Ca: 0.000 0.000 0.782
Ca: 0.333 0.667 0.114
Ca: 0.333 0.667 0.886

- ρ: 2.167 Mg/m³
- N(E_F): 11.28 states/eV/f.u.
- Calculated volume: 423.8 Å³ per cell
- ΔH_f (0 K): 63 meV/atom
- Energy above the most stable polymorph in this dataset: 40 meV per atom
- M_tot: 0.000 μB/atom